[1]
# Pm2InRh3

A relaxed structure of Pm2InRh3 (GGA-PBE, the Alexandria database). Values from VASP.

Summary:
- Density of states at the Fermi level: 3.6 states/eV per cell
- M_tot: 0.000 μB/atom
- Crystal system: trigonal
- Energy of formation: -660 meV per atom
- Polymorph energy (0 for the lowest one): 0.000 eV/atom

Geometry as Quantum ESPRESSO input:
```
&SYSTEM
  ibrav = 0, nat = 6, ntyp = 3
/
ATOMIC_SPECIES
Pm 145.00 Pm.upf
In 114.82 In.upf
Rh 102.91 Rh.upf
CELL_PARAMETERS angstrom
-4.768 2.252 0.955
-3.554 -0.418 -3.990
-4.010 -3.446 0.876
ATOMIC_POSITIONS angstrom
Pm -4.575 -0.598 -0.801
Pm -7.757 -1.014 -1.358
In 0.000 0.000 0.000
Rh -2.005 -1.723 0.438
Rh -2.384 1.126 0.478
Rh -1.777 -0.209 -1.995
```



[2]
# Pm8In2Rh

A relaxed structure of Pm8In2Rh (GGA-PBE, the Alexandria database). Values from VASP.

Summary:
- Density of states at the Fermi level: 11.0 states/eV per cell
- M_tot: 0.000 μB/atom
- Crystal system: monoclinic
- Energy of formation: -302 meV per atom

Geometry as Quantum ESPRESSO input:
```
&SYSTEM
  ibrav = 0, nat = 11, ntyp = 3
/
ATOMIC_SPECIES
Pm 145.00 Pm.upf
In 114.82 In.upf
Rh 102.91 Rh.upf
CELL_PARAMETERS angstrom
5.207 0.000 0.000
0.000 6.905 0.293
-2.604 -2.564 9.168
ATOMIC_POSITIONS angstrom
Pm 0.000 1.677 7.665
Pm 2.604 5.989 2.959
Pm 2.604 3.333 5.535
Pm 2.604 -0.949 8.925
Pm 0.000 1.008 3.926
Pm 0.000 -1.648 6.501
Pm 2.604 2.664 1.795
Pm 0.000 5.290 0.535
In 2.604 0.134 5.842
In 0.000 4.207 3.618
Rh 2.604 0.000 0.000
```



[3]
# Pm3In3Rh2

A relaxed structure of Pm3In3Rh2 (GGA-PBE, the Alexandria database). Values from VASP.

Summary:
- Density of states at the Fermi level: 23.3 states/eV per cell
- M_tot: 0.000 μB/atom
- Crystal system: orthorhombic
- Energy of formation: -595 meV per atom

Geometry as Quantum ESPRESSO input:
```
&SYSTEM
  ibrav = 0, nat = 32, ntyp = 3
/
ATOMIC_SPECIES
Pm 145.00 Pm.upf
In 114.82 In.upf
Rh 102.91 Rh.upf
CELL_PARAMETERS angstrom
5.786 0.000 0.000
0.000 8.164 0.000
0.000 0.000 16.602
ATOMIC_POSITIONS angstrom
Pm 0.587 3.806 6.479
Pm 3.480 0.276 10.123
Pm 5.199 4.358 14.780
Pm 2.306 7.888 1.822
Pm 5.199 4.358 10.123
Pm 2.306 7.888 6.479
Pm 0.587 3.806 1.822
Pm 3.480 0.276 14.780
Pm 3.701 2.783 4.151
Pm 0.808 1.299 12.452
Pm 2.085 5.381 12.452
Pm 4.978 6.865 4.151
In 0.820 1.449 4.151
In 3.713 2.632 12.452
In 4.966 6.714 12.452
In 2.073 5.531 4.151
In 3.448 2.647 7.764
In 0.555 1.435 8.838
In 2.338 5.517 16.065
In 5.231 6.728 0.537
In 2.338 5.517 8.838
In 5.231 6.728 7.764
In 3.448 2.647 0.537
In 0.555 1.435 16.065
Rh 5.030 0.909 6.352
Rh 2.137 3.173 10.250
Rh 0.756 7.255 14.653
Rh 3.649 4.991 1.949
Rh 0.756 7.255 10.250
Rh 3.649 4.991 6.352
Rh 5.030 0.909 1.949
Rh 2.137 3.173 14.653
```



[4]
# PmInRh

A relaxed structure of PmInRh (GGA-PBE, the Alexandria database). Values from VASP.

Summary:
- Density of states at the Fermi level: 2.5 states/eV per cell
- M_tot: 0.000 μB/atom
- Crystal system: tetragonal
- Energy of formation: -516 meV per atom
- Polymorph energy (0 for the lowest one): 0.190 eV/atom

Geometry as Quantum ESPRESSO input:
```
&SYSTEM
  ibrav = 0, nat = 3, ntyp = 3
/
ATOMIC_SPECIES
Pm 145.00 Pm.upf
Rh 102.91 Rh.upf
In 114.82 In.upf
CELL_PARAMETERS angstrom
3.431 0.000 0.000
0.000 3.431 0.000
-1.715 -1.715 5.686
ATOMIC_POSITIONS angstrom
Pm 0.000 0.000 3.011
Rh 1.715 1.715 1.218
In 1.715 1.715 5.438
```



[5]
# PmIn2Rh

A relaxed structure of PmIn2Rh (GGA-PBE, the Alexandria database). Values from VASP.

Summary:
- Density of states at the Fermi level: 17.7 states/eV per cell
- M_tot: 0.000 μB/atom
- Crystal system: orthorhombic
- Energy of formation: -596 meV per atom
- Polymorph energy (0 for the lowest one): 0.017 eV/atom

Geometry as Quantum ESPRESSO input:
```
&SYSTEM
  ibrav = 0, nat = 32, ntyp = 3
/
ATOMIC_SPECIES
Pm 145.00 Pm.upf
In 114.82 In.upf
Rh 102.91 Rh.upf
CELL_PARAMETERS angstrom
5.602 0.000 0.000
0.000 8.062 0.000
0.000 0.000 16.154
ATOMIC_POSITIONS angstrom
Pm 2.552 2.015 2.275
Pm 5.353 6.046 5.802
Pm 3.050 6.046 13.879
Pm 0.249 2.015 10.352
Pm 4.135 2.015 6.392
Pm 1.334 6.046 1.685
Pm 1.467 6.046 9.762
Pm 4.269 2.015 14.469
In 5.379 0.399 3.461
In 2.577 7.663 4.616
In 0.224 4.430 12.693
In 3.025 3.632 11.538
In 0.224 7.663 12.693
In 3.025 0.399 11.538
In 5.379 3.632 3.461
In 2.577 4.430 4.616
In 4.186 4.439 0.601
In 1.385 3.623 7.476
In 1.416 0.408 15.553
In 4.218 7.654 8.678
In 1.416 3.623 15.553
In 4.218 4.439 8.678
In 4.186 7.654 0.601
In 1.385 0.408 7.476
Rh 1.289 2.015 5.180
Rh 4.090 6.046 2.897
Rh 4.314 6.046 10.974
Rh 1.512 2.015 13.257
Rh 5.493 2.015 1.163
Rh 2.692 6.046 6.914
Rh 0.109 6.046 14.991
Rh 2.911 2.015 9.240
```



[6]
# Pm5InRh2

A relaxed structure of Pm5InRh2 (GGA-PBE, the Alexandria database). Values from VASP.

Summary:
- Density of states at the Fermi level: 17.6 states/eV per cell
- M_tot: 0.000 μB/atom
- Crystal system: tetragonal
- Energy of formation: -543 meV per atom

Geometry as Quantum ESPRESSO input:
```
&SYSTEM
  ibrav = 0, nat = 16, ntyp = 3
/
ATOMIC_SPECIES
Pm 145.00 Pm.upf
In 114.82 In.upf
Rh 102.91 Rh.upf
CELL_PARAMETERS angstrom
-7.469 -2.749 -0.313
1.507 -4.799 6.176
0.960 8.767 1.442
ATOMIC_POSITIONS angstrom
Pm -2.178 1.584 5.235
Pm -4.224 -4.500 6.143
Pm 0.000 0.000 0.000
Pm -2.981 -3.774 2.931
Pm -0.778 5.719 1.161
Pm -4.247 3.500 2.092
Pm 1.291 3.804 4.304
Pm -0.755 -2.280 5.212
Pm -6.293 -2.584 3.000
Pm -2.824 -0.365 2.069
In -3.992 -1.277 5.118
In -1.011 2.497 2.187
Rh -0.476 -2.119 2.199
Rh -4.551 -2.408 0.646
Rh -1.411 -5.139 5.216
Rh -5.486 -5.429 3.664
```



[7]
# PmIn2Rh

A relaxed structure of PmIn2Rh (GGA-PBE, the Alexandria database). Values from VASP.

Summary:
- Density of states at the Fermi level: 3.7 states/eV per cell
- M_tot: 0.000 μB/atom
- Crystal system: trigonal
- Energy of formation: -421 meV per atom
- Polymorph energy (0 for the lowest one): 0.192 eV/atom

Geometry as Quantum ESPRESSO input:
```
&SYSTEM
  ibrav = 0, nat = 4, ntyp = 3
/
ATOMIC_SPECIES
In 114.82 In.upf
Rh 102.91 Rh.upf
Pm 145.00 Pm.upf
CELL_PARAMETERS angstrom
4.542 0.000 0.000
2.271 3.934 0.000
2.271 1.311 5.323
ATOMIC_POSITIONS angstrom
In 6.813 3.934 3.506
In 2.271 1.311 1.817
Rh 4.542 2.622 2.662
Pm 0.000 0.000 0.000
```



[8]
# Pm7In2Rh2

A relaxed structure of Pm7In2Rh2 (GGA-PBE, the Alexandria database). Values from VASP.

Summary:
- Density of states at the Fermi level: 10.9 states/eV per cell
- M_tot: 0.000 μB/atom
- Crystal system: orthorhombic
- Energy of formation: -384 meV per atom

Geometry as Quantum ESPRESSO input:
```
&SYSTEM
  ibrav = 0, nat = 11, ntyp = 3
/
ATOMIC_SPECIES
Pm 145.00 Pm.upf
In 114.82 In.upf
Rh 102.91 Rh.upf
CELL_PARAMETERS angstrom
6.938 -0.003 -0.863
0.003 7.245 0.003
-1.293 -0.003 6.871
ATOMIC_POSITIONS angstrom
Pm -0.646 1.825 3.436
Pm 3.471 5.418 -0.429
Pm 6.293 5.415 2.575
Pm 2.176 1.823 6.440
Pm 0.000 0.000 0.000
Pm 2.825 5.467 3.006
Pm 2.823 1.773 3.005
In 4.670 3.618 4.971
In 0.977 3.622 1.040
Rh 4.550 7.243 1.387
Rh 1.098 -0.003 4.624
```



[9]
# Pm3InRh

A relaxed structure of Pm3InRh (GGA-PBE, the Alexandria database). Values from VASP.

Summary:
- Density of states at the Fermi level: 14.2 states/eV per cell
- M_tot: 0.000 μB/atom
- Crystal system: orthorhombic
- Energy of formation: -513 meV per atom
- Polymorph energy (0 for the lowest one): 0.000 eV/atom

Geometry as Quantum ESPRESSO input:
```
&SYSTEM
  ibrav = 0, nat = 20, ntyp = 3
/
ATOMIC_SPECIES
Pm 145.00 Pm.upf
In 114.82 In.upf
Rh 102.91 Rh.upf
CELL_PARAMETERS angstrom
-4.289 1.829 1.853
1.509 -3.092 6.545
7.220 12.588 4.282
ATOMIC_POSITIONS angstrom
Pm 3.377 6.139 5.150
Pm -0.394 1.695 7.603
Pm 3.992 11.136 8.433
Pm 2.638 5.914 10.454
Pm 1.064 5.186 7.531
Pm 1.803 5.411 2.226
Pm 7.158 9.869 10.218
Pm -0.759 3.921 4.561
Pm 5.199 7.403 8.119
Pm 4.835 9.630 5.078
Pm -2.717 1.455 2.463
Pm 0.449 0.188 4.248
In 4.151 8.918 10.989
In 0.290 2.407 1.692
In 2.286 8.529 7.058
In 2.155 2.795 5.622
Rh 6.255 11.635 6.385
Rh 4.028 4.890 7.889
Rh 0.413 6.435 4.792
Rh -1.814 -0.311 6.296
```



[10]
# PmIn5Rh

A relaxed structure of PmIn5Rh (GGA-PBE, the Alexandria database). Values from VASP.

Summary:
- Density of states at the Fermi level: 2.3 states/eV per cell
- M_tot: 0.000 μB/atom
- Crystal system: tetragonal
- Energy of formation: -450 meV per atom

Geometry as Quantum ESPRESSO input:
```
&SYSTEM
  ibrav = 0, nat = 7, ntyp = 3
/
ATOMIC_SPECIES
Pm 145.00 Pm.upf
In 114.82 In.upf
Rh 102.91 Rh.upf
CELL_PARAMETERS angstrom
4.687 0.000 0.000
0.000 4.687 0.000
0.000 0.000 7.583
ATOMIC_POSITIONS angstrom
Pm 0.000 0.000 0.000
In 2.343 0.000 5.283
In 0.000 2.343 5.283
In 2.343 2.343 0.000
In 0.000 2.343 2.300
In 2.343 0.000 2.300
Rh 0.000 0.000 3.792
```